Nd3CuBr3 | PBE | optimized geometry

Unit cell a=11.9555 b=11.9555 c=11.9555 alpha=90.00 beta=90.00 gamma=90.00
Closest atoms and distances in Å follow each position.
Space group I4_132 (No. 214)
Symmetry-distinct sites (fractional):
1 Nd 0.1138 0.3638 0.1250 (multiplicity 24)  2 Cu 2.86, 4 Br 3.09-3.13
2 Cu 0.1250 0.1250 0.1250 (multiplicity 8)  6 Nd 2.86
3 Br 0.1173 0.1327 0.6250 (multiplicity 24)  4 Nd 3.09-3.13

Properties
E_form (uncorrected) = -1144 meV per atom